Entry from Alexandria: Cd4Fe after structural relaxation (PBE-GGA).

Values from the calculation:
Calculated formation energy: 126 kJ/mol of formula units
VASP energy: -2.163 eV per atom
Fermi-level density of states: 4.61 states/eV/f.u.

Structure (extended XYZ):
```
5
Lattice="-3.4058 3.4058 2.0958 3.4058 -3.4058 2.0958 3.4058 3.4058 -2.0958" Properties=species:S:1:pos:R:3 pbc="T T T"
Cd 4.8334 0.6784 0.0000
Cd 0.6784 1.9782 0.0000
Cd 2.7274 1.4276 2.0958
Cd -1.4276 2.7274 2.0958
Fe 0.0000 0.0000 2.0958
```